# Ca3AcNd2Te6, relaxed, DFT PBE-GGA
# * V: 33.16 Å³/atom
# * M_tot: 0.000 μB per atom
# * final energy: -56.7 eV/f.u.
# * formation energy from raw total energies: -1.52 eV per atom
data_Ca3AcNd2Te6
_cell_length_a 7.8117
_cell_length_b 13.5153
_cell_length_c 7.9769
_cell_angle_alpha 90.00
_cell_angle_beta 109.10
_cell_angle_gamma 90.00
_symmetry_space_group_name_H-M 'C 1 2/m 1'
_symmetry_Int_Tables_number 12
_symmetry_space_group_name_Hall '-C 2y'
loop_
_atom_site_label
_atom_site_type_symbol
_atom_site_fract_x
_atom_site_fract_y
_atom_site_fract_z
_atom_site_occupancy
Ca1 Ca 0.0000 0.0000 0.0000 1
Ca2 Ca 0.0000 0.3362 0.0000 1
Ac1 Ac 0.0000 0.5000 0.5000 1
Nd1 Nd 0.0000 0.1667 0.5000 1
Te1 Te 0.2425 0.1708 0.2399 1
Te2 Te 0.2446 0.0000 0.7584 1

# Ba2SrAu, relaxed, DFT PBE-GGA
# * V: 52.56 Å³/atom
# * energy of formation: -0.34 eV per atom
# * offset from the most stable computed form: 56.9 meV per atom
# * M_tot: 0.000 μB per atom
# * final energy: -10.2 eV/f.u.
data_Ba2SrAu
_cell_length_a 4.6622
_cell_length_b 4.6622
_cell_length_c 33.5066
_cell_angle_alpha 90.00
_cell_angle_beta 90.00
_cell_angle_gamma 120.00
_symmetry_space_group_name_H-M 'R 3 m'
_symmetry_Int_Tables_number 160
_symmetry_space_group_name_Hall 'R 3 -2"'
loop_
_atom_site_label
_atom_site_type_symbol
_atom_site_fract_x
_atom_site_fract_y
_atom_site_fract_z
_atom_site_occupancy
Ba1 Ba 0.0000 0.0000 0.0000 1
Ba2 Ba 0.0000 0.0000 0.2220 1
Sr1 Sr 0.0000 0.0000 0.4449 1
Au1 Au 0.0000 0.0000 0.6110 1

# RbCeInF6, relaxed, DFT PBE-GGA
# * V: 23.28 Å³/atom
# * M_tot: 0.000 μB per atom
# * final energy: -48.9 eV/f.u.
# * formation energy from raw total energies: -3.11 eV per atom
data_RbCeInF6
_cell_length_a 5.7830
_cell_length_b 5.7830
_cell_length_c 12.5317
_cell_angle_alpha 90.00
_cell_angle_beta 90.00
_cell_angle_gamma 90.00
_symmetry_space_group_name_H-M 'P 42 n m'
_symmetry_Int_Tables_number 102
_symmetry_space_group_name_Hall 'P 4n -2n'
loop_
_atom_site_label
_atom_site_type_symbol
_atom_site_fract_x
_atom_site_fract_y
_atom_site_fract_z
_atom_site_occupancy
Rb1 Rb 0.0000 0.0000 0.0000 1
Ce1 Ce 0.0000 0.0000 0.6717 1
In1 In 0.0000 0.0000 0.3240 1
F1 F 0.1756 0.1756 0.5430 1
F2 F 0.1828 0.1828 0.8002 1
F3 F 0.2291 0.2291 0.1793 1